(1)
A plane-wave DFT calculation with PBE was carried out for a relaxed structure of LaDyGa.

Size of the total moment = 0.0 μB per cell
Raw total energy = -4.53 eV per atom
Energy above the most stable polymorph in this dataset = 41 meV/atom
Density of states at the Fermi level = 1.04 states/eV/atom
Symmetry = I4mm

```
LaDyGa
1.0
-1.793 1.793 6.670
1.793 -1.793 6.670
1.793 1.793 -6.670
La Dy Ga
1 1 1
direct
0.000 0.000 0.000
0.285 0.285 0.000
0.655 0.655 0.000
```

---

(2)
A plane-wave DFT calculation with PBE was carried out for a relaxed structure of Rb2BaInF8.

Size of the total moment = 1.1 μB per cell
Uncorrected formation energy = -32.6 eV per formula unit
Raw total energy = -4.51 eV per atom
Density of states at the Fermi level = 0.49 states/eV/atom
Symmetry = P-1

```
Rb2BaInF8
1.0
4.666 0.000 0.000
-0.349 6.316 0.000
-0.002 -0.010 8.041
Rb Ba In F
2 1 1 8
direct
0.000 0.000 0.234
0.000 0.000 0.766
0.500 0.500 0.500
0.500 0.500 0.000
0.005 0.720 0.500
0.076 0.341 0.001
0.459 0.716 0.802
0.460 0.716 0.199
0.540 0.284 0.801
0.541 0.284 0.198
0.924 0.659 0.999
0.995 0.280 0.500
```